SmMoW: optimized geometry, GGA-PBE.

Values from the calculation:
* space group: No. 216
* VASP energy: -8.569 eV per atom
* ΔH_f (0 K): 0.937 eV per atom
* crystal system: cubic
* calculated volume: 22.5 Å³/atom

Unit cell a=4.569 b=4.569 c=4.569 alpha=60.00 beta=60.00 gamma=60.00
Sites, in units of the cell vectors:
1 Mo 0.250 0.250 0.250
2 Sm 0.750 0.750 0.750
3 W 0.000 0.000 0.000

SmZnMo: optimized geometry, GGA-PBE.

Values from the calculation:
* space group: No. 216
* VASP energy: -4.406 eV per atom
* ΔH_f (0 K): 1.202 eV per atom
* crystal system: cubic
* calculated volume: 25.7 Å³/atom

Unit cell a=4.779 b=4.779 c=4.779 alpha=60.00 beta=60.00 gamma=60.00
Sites, in units of the cell vectors:
1 Mo 0.250 0.250 0.250
2 Sm 0.000 0.000 0.000
3 Zn 0.750 0.750 0.750

SmZnMo: optimized geometry, GGA-PBE.

Values from the calculation:
* space group: No. 216
* VASP energy: -4.946 eV per atom
* ΔH_f (0 K): 0.662 eV per atom
* crystal system: cubic
* calculated volume: 22.6 Å³/atom

Unit cell a=4.575 b=4.575 c=4.575 alpha=60.00 beta=60.00 gamma=60.00
Each line ends with the local moment (μB).
Sites, in units of the cell vectors:
1 Mo 0.250 0.250 0.250  0.93
2 Sm 0.750 0.750 0.750  -0.04
3 Zn 0.000 0.000 0.000  -0.01

SmZrMo: optimized geometry, GGA-PBE.

Values from the calculation:
* space group: No. 216
* VASP energy: -6.657 eV per atom
* ΔH_f (0 K): 1.378 eV per atom
* crystal system: cubic
* calculated volume: 24.8 Å³/atom

Unit cell a=4.720 b=4.720 c=4.720 alpha=60.00 beta=60.00 gamma=60.00
Sites, in units of the cell vectors:
1 Mo 0.250 0.250 0.250
2 Sm 0.000 0.000 0.000
3 Zr 0.750 0.750 0.750

SmZrMo: optimized geometry, GGA-PBE.

Values from the calculation:
* space group: No. 216
* VASP energy: -7.051 eV per atom
* ΔH_f (0 K): 0.985 eV per atom
* crystal system: cubic
* calculated volume: 24.9 Å³/atom

Unit cell a=4.728 b=4.728 c=4.728 alpha=60.00 beta=60.00 gamma=60.00
Sites, in units of the cell vectors:
1 Mo 0.250 0.250 0.250
2 Sm 0.750 0.750 0.750
3 Zr 0.000 0.000 0.000

Sn2Mo: optimized geometry, GGA-PBE.

Values from the calculation:
* space group: No. 227
* VASP energy: -5.063 eV per atom
* crystal system: cubic
* calculated volume: 24.7 Å³/atom

Unit cell a=5.939 b=5.939 c=5.939 alpha=60.00 beta=60.00 gamma=60.00
Each line ends with the local moment (μB).
Sites, in units of the cell vectors:
1 Mo 0.000 0.000 0.000  2.95
2 Mo 0.250 0.250 0.250  2.95
3 Sn 0.625 0.625 0.125  0.01
4 Sn 0.625 0.125 0.625  0.01
5 Sn 0.125 0.625 0.625  -0.01
6 Sn 0.625 0.625 0.625  0.00

Sn5Mo: optimized geometry, GGA-PBE.

Values from the calculation:
* space group: No. 182
* VASP energy: -4.734 eV per atom
* crystal system: hexagonal
* calculated volume: 23.7 Å³/atom

Unit cell a=5.598 b=5.598 c=10.463 alpha=90.00 beta=90.00 gamma=120.00
Each line ends with the local moment (μB).
Sites, in units of the cell vectors:
1 Mo 0.333 0.667 0.250  1.64
2 Mo 0.667 0.333 0.750  1.58
3 Sn 0.652 0.000 0.000  0.02
4 Sn 0.348 0.348 0.000  0.00
5 Sn 0.000 0.652 0.000  0.01
6 Sn 0.000 0.000 0.250  0.00
7 Sn 0.667 0.333 0.250  -0.02
8 Sn 0.348 0.000 0.500  0.00
9 Sn 0.000 0.348 0.500  0.02
10 Sn 0.652 0.652 0.500  0.00
11 Sn 0.000 0.000 0.750  0.01
12 Sn 0.333 0.667 0.750  -0.02

SnMo: optimized geometry, GGA-PBE.

Values from the calculation:
* space group: No. 187
* VASP energy: -7.099 eV per atom
* crystal system: hexagonal
* calculated volume: 18.9 Å³/atom

Unit cell a=3.212 b=3.212 c=4.241 alpha=90.00 beta=90.00 gamma=120.00
Sites, in units of the cell vectors:
1 Mo 0.667 0.333 0.750
2 Sn 0.333 0.667 0.250

The lowest VASP energy belongs to which entry? SmMoW